First-principles (PBE) data for a relaxed Ho3Er4Tm4 crystal, as listed in the Alexandria database.

The structure belongs to space group P-1 (No. 2); the cell edges are 3.4557, 5.5126 and 17.8176 Å and the angles 81.14°, 84.45° and 89.99°. The distinct sites, in fractional coordinates, are Ho at (0.0000, 0.0000, 0.0000), Ho at (0.1364, 0.6363, 0.7267), Er at (0.2665, 0.2668, 0.4666), Er at (0.4093, 0.9102, 0.1810), Tm at (0.3198, 0.8196, 0.3612) and Tm at (0.4549, 0.4549, 0.0913).

The energy comes out at -4.4682 eV/atom. The energy of formation from the pure elements is 0.07 eV per atom. The value obtained for the energy above the most stable polymorph in this dataset is 0 meV per atom.

***

First-principles (PBE) data for a relaxed Ho3Er5Tm crystal, as listed in the Alexandria database.

The structure belongs to space group C2/m (No. 12); the cell edges are 14.9873, 11.2401 and 9.8190 Å and the angles 90.00°, 130.35° and 90.00°. The distinct sites, in fractional coordinates, are Ho at (0.0000, 0.0000, 0.0000), Ho at (0.0000, 0.5000, 0.5000), Ho at (0.0104, 0.0000, 0.3146), Ho at (0.0217, 0.5000, 0.8638), Er at (0.0000, 0.2404, 0.5000), Er at (0.1519, 0.2485, 0.2488), Er at (0.2208, 0.0000, 0.7319), Er at (0.2213, 0.5000, 0.5355) and Tm at (0.2483, 0.0000, 0.1023).

The energy comes out at -4.0199 eV/atom. The energy of formation from the pure elements is 0.54 eV per atom. The value obtained for the energy above the most stable polymorph in this dataset is 338 meV per atom.

***

First-principles (PBE) data for a relaxed Ho6Er2Tm crystal, as listed in the Alexandria database.

The structure belongs to space group P4_2/mnm (No. 136); the cell edges are 10.5180, 10.5180 and 4.9646 Å and the angles 90.00°, 90.00° and 90.00°. The distinct sites, in fractional coordinates, are Ho at (0.0003, 0.3330, 0.0000), Ho at (0.1664, 0.1664, 0.5000), Er at (0.1664, 0.8336, 0.5000) and Tm at (0.0000, 0.0000, 0.0000).

The energy comes out at -4.5401 eV/atom. The energy of formation from the pure elements is 0.02 eV per atom. The value obtained for the energy above the most stable polymorph in this dataset is 0 meV per atom.

***

First-principles (PBE) data for a relaxed Ho2Er7Tm2 crystal, as listed in the Alexandria database.

The structure belongs to space group C2/m (No. 12); the cell edges are 10.9913, 11.3455 and 5.9512 Å and the angles 90.00°, 113.33° and 90.00°. The distinct sites, in fractional coordinates, are Ho at (0.0000, 0.2158, 0.0000), Er at (0.0000, 0.0000, 0.5000), Er at (0.1739, 0.2366, 0.6757), Er at (0.2312, 0.0000, 0.0848) and Tm at (0.0892, 0.5000, 0.3032).

The energy comes out at -4.3797 eV/atom. The energy of formation from the pure elements is 0.17 eV per atom.

***

First-principles (PBE) data for a relaxed Ho7Er2Tm3 crystal, as listed in the Alexandria database.

The structure belongs to space group P2/m (No. 10); the cell edges are 6.1402, 5.4200 and 11.8363 Å and the angles 90.00°, 91.23° and 90.00°. The distinct sites, in fractional coordinates, are Ho at (0.0000, 0.0000, 0.0000), Ho at (0.0892, 0.5000, 0.1683), Ho at (0.2367, 0.5000, 0.4542), Ho at (0.4360, 0.0000, 0.1802), Er at (0.3914, 0.5000, 0.7224), Tm at (0.0554, 0.0000, 0.6597) and Tm at (0.5000, 0.5000, 0.0000).

The energy comes out at -4.2285 eV/atom. The energy of formation from the pure elements is 0.32 eV per atom. The value obtained for the energy above the most stable polymorph in this dataset is 203 meV per atom.

***

First-principles (PBE) data for a relaxed HoErTm5 crystal, as listed in the Alexandria database.

The structure belongs to space group C2/c (No. 15); the cell edges are 11.4741, 6.6463 and 12.0069 Å and the angles 90.00°, 110.13° and 90.00°. The distinct sites, in fractional coordinates, are Ho at (0.0000, 0.0280, 0.2500), Er at (0.2500, 0.2500, 0.0000), Tm at (0.0000, 0.4161, 0.7500), Tm at (0.0781, 0.2704, 0.5007) and Tm at (0.2202, 0.3601, 0.2467).

The energy comes out at -4.2942 eV/atom. The energy of formation from the pure elements is 0.21 eV per atom. The value obtained for the energy above the most stable polymorph in this dataset is 0 meV per atom.